CdTe4Rh: single point on PBEsol structure, SCAN.

Output
- symmetry = F-43m (216)
- energy relative to the elements, uncorrected (eV/atom) = 0.8393

Geometry as POSCAR:
```
CdTe4Rh
1.0
0.0000 4.3158 4.3158
4.3158 0.0000 4.3158
4.3158 4.3158 0.0000
Cd Te Rh
1 4 1
Cartesian
0.0000 0.0000 0.0000
5.3907 3.2409 3.2409
3.2409 5.3907 3.2409
3.2409 3.2409 5.3907
5.3907 5.3907 5.3907
2.1579 2.1579 2.1579
```

=====

Cd3TeRh: single point on PBEsol structure, SCAN.

Output
- symmetry = Pm-3m (221)
- energy relative to the elements, uncorrected (eV/atom) = 1.1432

Geometry as POSCAR:
```
Cd3TeRh
1.0
5.3941 0.0000 0.0000
0.0000 5.3941 0.0000
0.0000 0.0000 5.3941
Cd Te Rh
3 1 1
Cartesian
0.0000 0.0000 2.6971
0.0000 2.6971 0.0000
2.6971 0.0000 0.0000
0.0000 0.0000 0.0000
2.6971 2.6971 2.6971
```

=====

Tl2CdRh: single point on PBEsol structure, SCAN.

Output
- energy relative to the lowest polymorph listed for this composition (meV per atom) = 15
- symmetry = Imm2 (44)
- formation energy (eV/atom) = 0.026

Geometry as POSCAR:
```
Tl2CdRh
1.0
-1.5184 2.2744 6.3795
1.5184 -2.2744 6.3795
1.5184 2.2744 -6.3795
Tl Cd Rh
2 1 1
Cartesian
0.0000 0.0000 0.0000
0.0000 2.2744 2.4970
1.5184 0.0000 4.0764
0.0000 0.0000 6.4099
```

=====

TlCdRh: single point on PBEsol structure, SCAN.

Output
- energy relative to the lowest polymorph listed for this composition (meV per atom) = 56
- symmetry = P3m1 (156)
- formation energy (eV/atom) = 0.149

Geometry as POSCAR:
```
TlCdRh
1.0
4.5442 0.0000 0.0000
-2.2721 3.9354 0.0000
0.0000 0.0000 3.1199
Tl Cd Rh
1 1 1
Cartesian
0.0000 0.0000 0.0000
2.2721 1.3118 1.2443
0.0000 2.6236 2.4648
```

=====

TlCdRh: single point on PBEsol structure, SCAN.

Output
- energy relative to the lowest polymorph listed for this composition (meV per atom) = 13
- symmetry = Imm2 (44)
- formation energy (eV/atom) = 0.106

Geometry as POSCAR:
```
TlCdRh
1.0
-1.5688 1.8221 4.8461
1.5688 -1.8221 4.8461
1.5688 1.8221 -4.8461
Tl Cd Rh
1 1 1
Cartesian
0.0000 0.0000 0.0000
0.0000 0.0000 6.7218
0.0000 0.0000 3.3318
```

=====

TlCdRh: single point on PBEsol structure, SCAN.

Output
- energy relative to the lowest polymorph listed for this composition (meV per atom) = 0
- symmetry = I4mm (107)
- formation energy (eV/atom) = 0.093

Geometry as POSCAR:
```
TlCdRh
1.0
-1.5466 1.5466 6.0034
1.5466 -1.5466 6.0034
1.5466 1.5466 -6.0034
Tl Cd Rh
1 1 1
Cartesian
0.0000 0.0000 0.0000
0.0000 0.0000 8.5174
0.0000 0.0000 4.2220
```

=====

TlCd2Rh: single point on PBEsol structure, SCAN.

Output
- energy relative to the lowest polymorph listed for this composition (meV per atom) = 15
- symmetry = P4/mmm (123)
- formation energy (eV/atom) = -0.027

Geometry as POSCAR:
```
TlCd2Rh
1.0
3.1351 0.0000 0.0000
0.0000 3.1351 0.0000
0.0000 0.0000 8.2229
Tl Cd Rh
1 2 1
Cartesian
0.0000 0.0000 0.0000
1.5675 1.5675 2.4887
1.5675 1.5675 5.7341
0.0000 0.0000 4.1114
```

=====

TlCd2Rh: single point on PBEsol structure, SCAN.

Output
- energy relative to the lowest polymorph listed for this composition (meV per atom) = 0
- symmetry = Immm (71)
- formation energy (eV/atom) = -0.042

Geometry as POSCAR:
```
TlCd2Rh
1.0
-1.4946 2.2829 5.9655
1.4946 -2.2829 5.9655
1.4946 2.2829 -5.9655
Tl Cd Rh
1 2 1
Cartesian
0.0000 0.0000 0.0000
1.4946 0.0000 3.6143
0.0000 2.2829 2.3512
0.0000 0.0000 5.9655
```

=====

TlCd2Rh: single point on PBEsol structure, SCAN.

Output
- energy relative to the lowest polymorph listed for this composition (meV per atom) = 94
- symmetry = I-4m2 (119)
- formation energy (eV/atom) = 0.052

Geometry as POSCAR:
```
TlCd2Rh
1.0
-2.0629 2.0629 4.3377
2.0629 -2.0629 4.3377
2.0629 2.0629 -4.3377
Tl Cd Rh
1 2 1
Cartesian
0.0000 0.0000 0.0000
0.0000 0.0000 4.3377
0.0000 2.0629 2.1689
2.0629 0.0000 2.1689
```

=====

Tl2CdRh: single point on PBEsol structure, SCAN.

Output
- energy relative to the lowest polymorph listed for this composition (meV per atom) = 0
- symmetry = Immm (71)
- formation energy (eV/atom) = 0.011

Geometry as POSCAR:
```
Tl2CdRh
1.0
-1.5256 2.2689 6.6253
1.5256 -2.2689 6.6253
1.5256 2.2689 -6.6253
Tl Cd Rh
2 1 1
Cartesian
0.0000 0.0000 2.3482
0.0000 0.0000 10.9023
0.0000 2.2689 0.0000
1.5256 0.0000 0.0000
```

=====

Tl2CdRh2: single point on PBEsol structure, SCAN.

Output
- symmetry = P4/mbm (127)
- formation energy (eV/atom) = 0.026

Geometry as POSCAR:
```
Tl2CdRh2
1.0
7.0159 0.0000 0.0000
0.0000 7.0159 0.0000
0.0000 0.0000 3.7831
Tl Cd Rh
4 2 4
Cartesian
1.1246 2.3834 0.0000
2.3834 5.8913 0.0000
4.6325 1.1246 0.0000
5.8913 4.6325 0.0000
0.0000 0.0000 1.8916
3.5080 3.5080 1.8916
0.9859 4.4939 1.8916
2.5220 0.9859 1.8916
4.4939 6.0300 1.8916
6.0300 2.5220 1.8916
```

=====

CdRh2W: single point on PBEsol structure, SCAN.

Output
- energy relative to the lowest polymorph listed for this composition (meV per atom) = 476
- symmetry = P4mm (99)
- formation energy (eV/atom) = 0.264

Geometry as POSCAR:
```
CdRh2W
1.0
3.3673 0.0000 0.0000
0.0000 3.3673 0.0000
0.0000 0.0000 5.5469
Cd Rh W
1 2 1
Cartesian
0.0000 0.0000 0.0000
0.0000 0.0000 2.8173
1.6837 1.6837 1.3314
1.6837 1.6837 3.8040
```

=====

CdRh2W: single point on PBEsol structure, SCAN.

Output
- energy relative to the lowest polymorph listed for this composition (meV per atom) = 0
- symmetry = P4/mmm (123)
- formation energy (eV/atom) = -0.211

Geometry as POSCAR:
```
CdRh2W
1.0
2.8303 0.0000 0.0000
0.0000 2.8303 0.0000
0.0000 0.0000 7.5821
Cd Rh W
1 2 1
Cartesian
0.0000 0.0000 0.0000
1.4152 1.4152 2.0365
1.4152 1.4152 5.5456
0.0000 0.0000 3.7911
```

=====

Zr2CdRhW: single point on PBEsol structure, SCAN.

Output
- symmetry = P4/mmm (123)
- formation energy (eV/atom) = 1.802

Geometry as POSCAR:
```
Zr2CdRhW
1.0
5.0152 0.0000 0.0000
0.0000 5.0152 0.0000
0.0000 0.0000 4.5876
Zr Cd Rh W
2 1 1 1
Cartesian
0.0000 2.5076 0.0000
2.5076 0.0000 0.0000
0.0000 0.0000 0.0000
0.0000 0.0000 2.2938
2.5076 2.5076 2.2938
```

=====

YCd3Rh: single point on PBEsol structure, SCAN.

Output
- symmetry = Pm-3m (221)
- formation energy (eV/atom) = 0.057

Geometry as POSCAR:
```
YCd3Rh
1.0
4.9924 0.0000 0.0000
0.0000 4.9924 0.0000
0.0000 0.0000 4.9924
Y Cd Rh
1 3 1
Cartesian
0.0000 0.0000 0.0000
0.0000 2.4962 2.4962
2.4962 0.0000 2.4962
2.4962 2.4962 0.0000
2.4962 2.4962 2.4962
```